Density functional theory data (PBE-GGA) for a relaxed Sr2Tl6ZnIn crystal.

Output
Fermi-level density of states ... 0.430 states/eV/atom
Total DFT energy (no corrections) ... -2.231 eV/atom
Space group ... R-3m (166)
Spin magnetization ... 0.00 μB per formula unit
ΔH_f (0 K) ... -0.07 eV/atom

a = 7.700 Å, b = 7.700 Å, c = 13.484 Å
α = 73.41°, β = 73.41°, γ = 60.00°
Positions (direct):
Sr 0.892 0.892 0.324
Sr 0.108 0.108 0.676
Sr 0.718 0.718 0.846
Sr 0.282 0.282 0.154
Tl 0.921 0.336 0.406
Tl 0.336 0.921 0.406
Tl 0.336 0.336 0.406
Tl 0.079 0.664 0.594
Tl 0.664 0.079 0.594
Tl 0.664 0.664 0.594
Tl 0.663 0.218 0.901
Tl 0.218 0.663 0.901
Tl 0.218 0.218 0.901
Tl 0.337 0.782 0.099
Tl 0.782 0.337 0.099
Tl 0.782 0.782 0.099
Zn 0.000 0.000 0.000
Zn 0.500 0.500 0.500
In 0.574 0.574 0.279
In 0.426 0.426 0.721